[1]
8
Lattice="-3.2267 0.0145 -2.6341 -1.5226 -3.5965 -1.4481 -7.2212 -1.5870 5.5437" Properties=species:S:1:pos:R:3 comment="GGA-PBE CeGa4Ni2Pt, optimized geometry" m_tot_mub_per_cell=0.62 ef_ev_per_atom=-0.481 spacegroup="R-3m, No. 166" pbc="T T T"
Ce 0.0000 0.0000 0.0000
Pt -5.9853 -2.5845 0.7308
Ga -5.0926 -1.4386 2.9371
Ni -3.3091 -1.3143 0.7530
Ga -7.6546 -2.7008 2.7750
Ga -6.8779 -3.7303 -1.4755
Ga -4.3159 -2.4681 -1.3135
Ni -8.6614 -3.8546 0.7086

[2]
10
Lattice="4.1122 0.0000 0.0000 0.0000 4.1122 0.0000 0.0000 0.0000 11.0518" Properties=species:S:1:pos:R:3 comment="GGA-PBE Ce2Ga3NiPt4, optimized geometry" m_tot_mub_per_cell=1.11 ef_ev_per_atom=-0.849 spacegroup="P-4m2, No. 115" pbc="T T T"
Pt 2.0561 0.0000 7.0887
Pt 0.0000 0.0000 0.0000
Pt 0.0000 2.0561 3.9632
Ce 0.0000 2.0561 8.1369
Ce 2.0561 0.0000 2.9150
Pt 2.0561 2.0561 0.0000
Ga 2.0561 0.0000 9.5746
Ga 0.0000 2.0561 1.4772
Ga 0.0000 0.0000 5.5259
Ni 2.0561 2.0561 5.5259

[3]
10
Lattice="-0.3533 3.8627 1.6851 -1.7752 1.3972 -3.5751 -9.5038 -2.5014 3.7414" Properties=species:S:1:pos:R:3 comment="GGA-PBE Ce2Ga4NiPt3, optimized geometry" m_tot_mub_per_cell=1.17 ef_ev_per_atom=-0.842 spacegroup="P-4m2, No. 115" pbc="T T T"
Pt -2.2082 0.3510 -1.2677
Pt -4.7519 -1.2507 1.8707
Ce -8.0144 -1.1772 1.0181
Ga -1.0642 2.6300 -0.9450
Ni -5.8161 1.3793 0.9257
Pt -8.3598 -0.2225 4.0640
Ga -6.1050 0.3710 3.1763
Ga 0.0000 0.0000 0.0000
Ce -2.5536 1.3057 1.7783
Ga -4.4630 -0.2424 -0.3800

[4]
6
Lattice="4.6684 0.0000 0.0000 0.0000 4.6684 0.0000 0.0000 0.0000 5.4253" Properties=species:S:1:pos:R:3 comment="GGA-PBE CeGaNi2Pt2, optimized geometry" m_tot_mub_per_cell=0.01 ef_ev_per_atom=0.090 spacegroup="P4/mmm, No. 123" pbc="T T T"
Pt 0.0000 2.3342 0.0000
Ga 0.0000 0.0000 0.0000
Pt 2.3342 0.0000 0.0000
Ni 2.3342 2.3342 1.2978
Ce 0.0000 0.0000 2.7126
Ni 2.3342 2.3342 4.1275

[5]
8
Lattice="-1.9358 -3.1345 -2.1829 1.8827 -1.6776 -3.4610 3.8671 -7.4473 3.0642" Properties=species:S:1:pos:R:3 comment="GGA-PBE CeGa2NiPt4, optimized geometry" m_tot_mub_per_cell=0.00 ef_ev_per_atom=-0.698 spacegroup="R-3m, No. 166" pbc="T T T"
Pt 0.7432 -4.3791 -2.7715
Pt 2.3248 -5.1274 1.1007
Pt 3.0708 -7.8802 0.1918
Ce 0.0000 0.0000 0.0000
Ga 2.7125 -8.9719 -2.1232
Ga 1.1015 -3.2875 -0.4565
Ni 1.9070 -6.1297 -1.2898
Pt 1.4892 -7.1320 -3.6804

[6]
10
Lattice="4.0812 0.0000 0.0000 0.0000 4.0812 0.0000 0.0000 0.0000 10.3978" Properties=species:S:1:pos:R:3 comment="GGA-PBE Ce2Ga4Ni3Pt, optimized geometry" m_tot_mub_per_cell=0.89 ef_ev_per_atom=-0.643 spacegroup="P-4m2, No. 115" pbc="T T T"
Pt 2.0406 2.0406 5.1989
Ni 0.0000 2.0406 1.3823
Ce 0.0000 2.0406 7.9085
Ga 0.0000 2.0406 3.7631
Ga 2.0406 2.0406 0.0000
Ni 0.0000 0.0000 5.1989
Ga 2.0406 0.0000 6.6347
Ce 2.0406 0.0000 2.4893
Ni 2.0406 0.0000 9.0156
Ga 0.0000 0.0000 0.0000